Record 1
Ag3AsOs | SCAN | single point on PBEsol structure

```
5
Lattice="4.6699 0.0000 0.0000 0.0000 4.6699 0.0000 0.0000 0.0000 4.6699" Properties=species:S:1:pos:R:3 pbc="T T T"
Ag 0.0000 0.0000 2.3350
Ag 0.0000 2.3350 0.0000
Ag 2.3350 0.0000 0.0000
As 0.0000 0.0000 0.0000
Os 2.3350 2.3350 2.3350
```

Fermi-level density of states (states/eV/f.u.): 4.63
Energy of formation (meV per atom): 1487

---

Record 2
YSbAs2 | SCAN | single point on PBEsol structure

```
8
Lattice="3.8994 0.0000 0.0000 0.0000 5.0418 0.0000 0.0000 0.0000 8.9025" Properties=species:S:1:pos:R:3 pbc="T T T"
Y 0.0000 0.0000 0.0000
Y 1.9497 2.5209 4.4513
Sb 0.0000 0.0000 4.4513
Sb 1.9497 2.5209 0.0000
As 0.0000 2.5209 2.0289
As 0.0000 2.5209 6.8736
As 1.9497 0.0000 2.4223
As 1.9497 0.0000 6.4802
```

Fermi-level density of states (states/eV/f.u.): 1.90
Raw total energy (eV/atom): -26.8557

---

Record 3
NaLaI2O | SCAN | single point on PBEsol structure

```
5
Lattice="6.4663 0.0000 0.0000 0.0000 6.4663 0.0000 0.0000 0.0000 4.3260" Properties=species:S:1:pos:R:3 pbc="T T T"
Na 0.0000 0.0000 0.0000
La 3.2332 3.2332 2.1630
I 0.0000 3.2332 2.1630
I 3.2332 0.0000 2.1630
O 3.2332 3.2332 0.0000
```

Raw total energy (eV/atom): -27.3477

---

Record 4
Li3VF5 | SCAN | single point on PBEsol structure

```
27
Lattice="4.8069 0.0000 0.0000 -2.4034 4.1629 0.0000 0.0000 0.0000 13.4075" Properties=species:S:1:pos:R:3 pbc="T T T"
Li -1.6798 2.9095 2.2346
Li -1.5206 2.6703 12.3202
Li 0.7236 1.2534 6.7037
Li 0.8512 1.5108 3.3818
Li 0.8828 1.4926 10.0256
Li 0.6694 4.1446 7.8510
Li 3.0729 0.0183 1.0873
Li 3.3596 0.0000 11.1729
Li 3.2546 2.6521 5.5565
V -1.6930 2.9324 8.9383
V 0.7104 1.2305 0.0000
V 3.3860 0.0000 4.4691
F -0.5916 1.0248 8.9383
F -0.9893 1.8170 0.8599
F -0.2442 1.4475 11.6144
F -1.0277 3.6506 7.1452
F 1.1833 0.0000 4.4691
F 1.3757 0.5123 1.7931
F -0.3352 4.1111 9.7983
F 2.0683 0.0518 12.5475
F 1.3245 2.3976 5.3291
F 1.4141 2.3458 8.0784
F 1.2720 3.2276 2.6761
F 1.8118 3.1381 0.0000
F 2.1592 2.7154 10.7314
F 3.6754 0.9353 6.2622
F 3.7279 1.7653 3.6092
```

E above lowest polymorph (meV per atom): 9

---

Record 5
Ni6RuPt | SCAN | single point on PBEsol structure

```
32
Lattice="3.5701 -5.0437 0.0000 3.5701 5.0437 0.0000 0.0000 0.0000 10.0884" Properties=species:S:1:pos:R:3 pbc="T T T"
Ni 0.0000 0.0000 0.0000
Ni 0.0000 0.0000 5.0442
Ni 1.7628 1.2725 1.2403
Ni 1.7628 1.2725 8.8481
Ni 1.7615 1.2512 3.7613
Ni 1.7615 1.2512 6.3272
Ni 3.5701 2.5502 2.4758
Ni 3.5701 2.5502 7.6127
Ni 1.7615 -1.2512 3.7613
Ni 1.7615 -1.2512 6.3272
Ni 1.7628 -1.2725 1.2403
Ni 1.7628 -1.2725 8.8481
Ni 3.5701 0.0000 0.0000
Ni 3.5701 0.0000 5.0442
Ni 5.3774 1.2725 1.2403
Ni 5.3774 1.2725 8.8481
Ni 5.3787 1.2512 3.7613
Ni 5.3787 1.2512 6.3272
Ni 3.5701 -2.5502 2.4758
Ni 3.5701 -2.5502 7.6127
Ni 5.3787 -1.2512 3.7613
Ni 5.3787 -1.2512 6.3272
Ni 5.3774 -1.2725 1.2403
Ni 5.3774 -1.2725 8.8481
Ru 0.0000 0.0000 2.5316
Ru 0.0000 0.0000 7.5568
Ru 3.5701 2.5268 0.0000
Ru 3.5701 -2.5268 0.0000
Pt 3.5701 2.5103 5.0442
Pt 3.5701 0.0000 2.5127
Pt 3.5701 0.0000 7.5758
Pt 3.5701 -2.5103 5.0442
```

Fermi-level density of states (states/eV/f.u.): 7.25
Energy of formation (meV per atom): 11

---

Record 6
Pb2IOF | SCAN | single point on PBEsol structure

```
10
Lattice="2.9402 -6.6477 0.0000 2.9402 6.6477 0.0000 0.0000 0.0000 5.8917" Properties=species:S:1:pos:R:3 pbc="T T T"
Pb 2.9402 5.3887 4.5911
Pb 2.9402 1.2590 4.5911
Pb 2.9402 -1.2590 1.3006
Pb 2.9402 -5.3887 1.3006
I 2.9402 3.3239 1.4340
I 2.9402 -3.3239 4.4578
O 1.4701 0.0000 0.0000
O 4.4103 0.0000 0.0000
F 1.4701 0.0000 2.9459
F 4.4103 0.0000 2.9459
```

Fermi-level density of states (states/eV/f.u.): 0.00
Raw total energy (eV/atom): -41.0744

---

What did the fourth record say?
Li3VF5 | SCAN | single point on PBEsol structure

```
27
Lattice="4.8069 0.0000 0.0000 -2.4034 4.1629 0.0000 0.0000 0.0000 13.4075" Properties=species:S:1:pos:R:3 pbc="T T T"
Li -1.6798 2.9095 2.2346
Li -1.5206 2.6703 12.3202
Li 0.7236 1.2534 6.7037
Li 0.8512 1.5108 3.3818
Li 0.8828 1.4926 10.0256
Li 0.6694 4.1446 7.8510
Li 3.0729 0.0183 1.0873
Li 3.3596 0.0000 11.1729
Li 3.2546 2.6521 5.5565
V -1.6930 2.9324 8.9383
V 0.7104 1.2305 0.0000
V 3.3860 0.0000 4.4691
F -0.5916 1.0248 8.9383
F -0.9893 1.8170 0.8599
F -0.2442 1.4475 11.6144
F -1.0277 3.6506 7.1452
F 1.1833 0.0000 4.4691
F 1.3757 0.5123 1.7931
F -0.3352 4.1111 9.7983
F 2.0683 0.0518 12.5475
F 1.3245 2.3976 5.3291
F 1.4141 2.3458 8.0784
F 1.2720 3.2276 2.6761
F 1.8118 3.1381 0.0000
F 2.1592 2.7154 10.7314
F 3.6754 0.9353 6.2622
F 3.7279 1.7653 3.6092
```

E above lowest polymorph (meV per atom): 9